(1)
CdSi2Br: relaxed, PBE.

Calculated values
D(E_F) in states/eV/cell: 3.802
Formation energy (no corrections) in meV/atom: 257

Geometry as CIF:
```
data_CdSi2Br
_symmetry_space_group_name_H-M 'C m m m'
_symmetry_Int_Tables_number 65
_symmetry_space_group_name_Hall '-C 2 2'
_cell_length_a 3.860
_cell_length_b 12.942
_cell_length_c 4.565
_cell_angle_alpha 90.00
_cell_angle_beta 90.00
_cell_angle_gamma 90.00
loop_
_atom_site_label
_atom_site_fract_x
_atom_site_fract_y
_atom_site_fract_z
Cd1 0.000 0.000 0.000
Si1 0.000 0.203 0.000
Br1 0.000 0.500 0.500
```


(2)
SnHg2BiPb: relaxed, PBE.

Calculated values
Calculated formation energy in eV per atom: 0.046
D(E_F) in states/eV/cell: 3.125

Geometry as CIF:
```
data_SnHg2BiPb
_symmetry_space_group_name_H-M 'P 1 21/m 1'
_symmetry_Int_Tables_number 11
_symmetry_space_group_name_Hall '-P 2yb'
_cell_length_a 6.204
_cell_length_b 5.478
_cell_length_c 8.932
_cell_angle_alpha 90.00
_cell_angle_beta 108.61
_cell_angle_gamma 90.00
loop_
_atom_site_label
_atom_site_fract_x
_atom_site_fract_y
_atom_site_fract_z
Sn1 0.108 0.250 0.092
Hg1 0.353 0.250 0.483
Hg2 0.437 0.750 0.128
Bi1 0.290 0.750 0.743
Pb1 0.047 0.750 0.333
```